Record 1
A PBEsol-optimized structure of LiLaGe2. Source: the Alexandria database, functional SCAN.

Results
- energy of formation from the pure elements (eV/f.u.) = -1.8
- N(E_F) (states/eV/atom) = 0.466
- total DFT energy (no corrections) (Ha/atom) = -0.7856
- spin magnetization (μB/cell) = 0.000
- offset from the most stable computed form (eV per formula unit) = 1.25
- space-group type = No. 225

Unit cell a=4.9419 b=4.9419 c=4.9419 alpha=60.00 beta=60.00 gamma=60.00
Fractional positions:
Ge: 0.7500 0.7500 0.7500
Ge: 0.2500 0.2500 0.2500
Li: 0.0000 0.0000 0.0000
La: 0.5000 0.5000 0.5000

Record 2
A PBEsol-optimized structure of YIn2Mo. Source: the Alexandria database, functional SCAN.

Results
- energy of formation from the pure elements (eV/f.u.) = 0.6
- N(E_F) (states/eV/atom) = 0.792
- total DFT energy (no corrections) (Ha/atom) = -1.1841
- spin magnetization (μB/cell) = 0.002
- offset from the most stable computed form (eV per formula unit) = 0.34
- space-group type = No. 99

Unit cell a=3.6835 b=3.6835 c=6.3672 alpha=90.00 beta=90.00 gamma=90.00
Fractional positions:
In: 0.0000 0.0000 0.0208
In: 0.5000 0.5000 0.2677
Y: 0.5000 0.5000 0.7264
Mo: 0.0000 0.0000 0.4851

Record 3
A PBEsol-optimized structure of KSr2Tl. Source: the Alexandria database, functional SCAN.

Results
- energy of formation from the pure elements (eV/f.u.) = -1.2
- N(E_F) (states/eV/atom) = 0.651
- total DFT energy (no corrections) (Ha/atom) = -1.1614
- spin magnetization (μB/cell) = 0.029
- space-group type = No. 123

Unit cell a=4.0460 b=4.0460 c=11.0140 alpha=90.00 beta=90.00 gamma=90.00
Fractional positions:
Sr: 0.0000 0.0000 0.3254
Sr: 0.0000 0.0000 0.6746
K: 0.5000 0.5000 0.0000
Tl: 0.5000 0.5000 0.5000

Record 4
A PBEsol-optimized structure of LiTaSi2. Source: the Alexandria database, functional SCAN.

Results
- N(E_F) (states/eV/atom) = 0.356
- total DFT energy (no corrections) (Ha/atom) = -0.8154
- spin magnetization (μB/cell) = 0.000
- offset from the most stable computed form (eV per formula unit) = 0.73
- space-group type = No. 12

Unit cell a=2.8282 b=4.5833 c=4.9487 alpha=102.62 beta=90.00 gamma=107.97
Fractional positions:
Si: 0.7513 0.5027 0.7373
Li: 0.5000 0.0000 0.0000
Si: 0.2487 0.4973 0.2627
Ta: 0.0000 0.0000 0.5000